First-principles (PBE-GGA) data for a geometry-optimized ZnCuIrW structure, as listed in OQMD.

```
data_ZnCuIrW
_chemical_formula_sum 'Zn4 Cu4 Ir4 W4'
_space_group_name_H-M_alt 'F -4 3 m'
_space_group_IT_number 216
_space_group_name_Hall 'F -4 2 3'
_cell_length_a 6.0425
_cell_length_b 6.0425
_cell_length_c 6.0425
_cell_angle_alpha 90.00
_cell_angle_beta 90.00
_cell_angle_gamma 90.00
loop_
_atom_site_label
_atom_site_fract_x
_atom_site_fract_y
_atom_site_fract_z
Zn1 0.0000 0.0000 0.0000
Cu1 0.0000 0.0000 0.5000
Ir1 0.2500 0.2500 0.2500
W1 0.2500 0.2500 0.7500
```

spin magnetization = 0.1 Bohr magnetons per cell
E_form = 28.5 kJ per mole of atoms
ΔE to the lowest computed polymorph = 267 meV/atom



First-principles (PBE-GGA) data for a geometry-optimized ScAlCu2 structure, as listed in OQMD.

```
data_ScAlCu2
_chemical_formula_sum 'Sc4 Al4 Cu8'
_space_group_name_H-M_alt 'P n m a'
_space_group_IT_number 62
_cell_length_a 7.0765
_cell_length_b 6.5833
_cell_length_c 5.3996
_cell_angle_alpha 90.00
_cell_angle_beta 90.00
_cell_angle_gamma 90.00
loop_
_space_group_symop_operation_xyz
'x,y,z'
'-x,-y,-z'
'-x+1/2,-y,z+1/2'
'x+1/2,y,-z+1/2'
'x+1/2,-y+1/2,-z+1/2'
'-x+1/2,y+1/2,z+1/2'
'-x,y+1/2,-z'
'x,-y+1/2,z'
loop_
_atom_site_label
_atom_site_fract_x
_atom_site_fract_y
_atom_site_fract_z
Sc1 0.0370 0.2500 0.1576
Al1 0.1118 0.7500 0.3418
Cu1 0.1828 0.0527 0.5801
```

electronic total energy = -74.72 eV for the cell shown
spin magnetization = 0.0 Bohr magnetons per cell



Which of these has the highest spin magnetization? ZnCuIrW